(1)
A plane-wave DFT calculation with GGA-PBE was carried out for crystalline BaTl2Se2 at its relaxed geometry.

Cell and atoms, written as POSCAR:
```
BaTl2Se2
1.0
-2.238 2.238 8.162
2.238 -2.238 8.162
2.238 2.238 -8.162
Ba Tl Se
1 2 2
Cartesian
0.000 0.000 0.000
2.238 0.000 4.081
0.000 2.238 4.081
0.000 0.000 6.590
0.000 0.000 9.735
```

## Properties
- Space-group type: I4/mmm
- Raw formation energy: -0.81 eV per atom
- Excess energy over the best structure of this formula in the dataset: 244 meV per atom
- Electronic total energy: -0.2599 Ry/atom
- Mass density: 7.1 g/cm³

***

(2)
A plane-wave DFT calculation with GGA-PBE was carried out for crystalline SmY5Sc2 at its relaxed geometry.

Cell and atoms, written as POSCAR:
```
SmY5Sc2
1.0
2.668 -5.772 0.000
2.668 5.772 0.000
0.000 0.000 16.037
Sm Y Sc
2 10 4
Cartesian
2.668 2.931 12.028
2.668 -2.931 4.009
2.668 5.139 9.596
2.668 5.139 14.459
2.668 1.658 8.645
2.668 1.658 15.410
2.668 0.285 4.009
2.668 -0.285 12.028
2.668 -1.658 0.627
2.668 -1.658 7.391
2.668 -5.139 1.577
2.668 -5.139 6.441
2.668 3.146 2.338
2.668 3.146 5.680
2.668 -3.146 10.356
2.668 -3.146 13.699
```

## Properties
- Space-group type: Cmcm
- Excess energy over the best structure of this formula in the dataset: 99 meV per atom
- Electronic total energy: -0.4466 Ry/atom
- Mass density: 4.6 g/cm³

***

(3)
A plane-wave DFT calculation with GGA-PBE was carried out for crystalline TlTc2Rh at its relaxed geometry.

Cell and atoms, written as POSCAR:
```
TlTc2Rh
1.0
2.627 -4.332 0.000
2.627 4.332 0.000
0.000 0.000 2.871
Tl Tc Rh
1 2 1
Cartesian
0.000 0.000 0.000
1.314 2.166 1.435
1.314 -2.166 1.435
2.627 0.000 0.000
```

## Properties
- Space-group type: Cmmm
- Excess energy over the best structure of this formula in the dataset: 313 meV per atom
- Electronic total energy: -0.5184 Ry/atom
- Mass density: 12.8 g/cm³

***

(4)
A plane-wave DFT calculation with GGA-PBE was carried out for crystalline PmGdSi2 at its relaxed geometry.

Cell and atoms, written as POSCAR:
```
PmGdSi2
1.0
2.341 1.352 5.147
-2.341 1.352 5.147
0.000 -2.703 5.147
Pm Gd Si
1 1 2
Cartesian
0.000 0.000 0.000
0.000 0.000 7.721
0.000 0.000 3.785
0.000 0.000 11.657
```

## Properties
- Space-group type: R-3m
- Raw formation energy: -0.48 eV per atom
- Electronic total energy: -0.5805 Ry/atom
- Mass density: 6.1 g/cm³

***

(5)
A plane-wave DFT calculation with GGA-PBE was carried out for crystalline Na3Sn3Au2 at its relaxed geometry.

Cell and atoms, written as POSCAR:
```
Na3Sn3Au2
1.0
2.384 -5.500 0.000
2.384 5.500 0.000
0.000 0.000 15.631
Na Sn Au
6 6 4
Cartesian
2.384 4.708 9.626
2.384 4.708 13.820
2.384 1.655 11.723
2.384 -1.655 3.908
2.384 -4.708 1.811
2.384 -4.708 6.004
2.384 1.554 3.908
2.384 1.394 8.426
2.384 1.394 15.020
2.384 -1.394 0.611
2.384 -1.394 7.204
2.384 -1.554 11.723
2.384 3.125 1.664
2.384 3.125 6.151
2.384 -3.125 9.480
2.384 -3.125 13.966
```

## Properties
- Space-group type: Cmcm
- Excess energy over the best structure of this formula in the dataset: 0 meV per atom
- Electronic total energy: -0.2271 Ry/atom
- Mass density: 6.6 g/cm³

***

(6)
A plane-wave DFT calculation with GGA-PBE was carried out for crystalline Y3HoTm6 at its relaxed geometry.

Cell and atoms, written as POSCAR:
```
Y3HoTm6
1.0
4.860 2.806 3.874
-4.860 2.806 3.874
0.000 -5.612 3.874
Y Ho Tm
3 1 6
Cartesian
0.000 0.000 0.000
0.000 0.000 2.807
0.000 0.000 8.605
0.000 0.000 5.805
-3.167 0.003 4.287
-1.680 -2.790 6.211
1.581 -2.745 4.287
-1.576 2.850 6.210
1.587 2.741 4.287
3.256 -0.060 6.210
```

## Properties
- Space-group type: R3
- Excess energy over the best structure of this formula in the dataset: 168 meV per atom
- Electronic total energy: -0.3505 Ry/atom
- Mass density: 7.6 g/cm³